# 1
## SbAs2Pt (PBE)

Data for a geometry-optimized SbAs2Pt structure.

Calculated values
Size of the total moment (Bohr magnetons per cell): 0.00
ρ (g/cm3): 9.32
VASP energy (eV per formula unit): -19.072
Symmetry: Pmmm (47)

a = 3.0545 Å, b = 3.1272 Å, c = 8.7074 Å
α = 90.00°, β = 90.00°, γ = 90.00°
Sites, in units of the cell vectors:
Sb1 0.0000 0.0000 0.0000
As1 0.5000 0.5000 0.3110
As2 0.5000 0.5000 0.6890
Pt1 0.0000 0.0000 0.5000

---

# 2
## NdDy2Tl2Cd2 (PBE)

Data for a geometry-optimized NdDy2Tl2Cd2 structure.

Calculated values
Size of the total moment (Bohr magnetons per cell): 0.00
ρ (g/cm3): 9.47
VASP energy (eV per formula unit): -21.724
Symmetry: R-3m (166)

a = 9.2699 Å, b = 9.2699 Å, c = 9.2699 Å
α = 31.53°, β = 31.53°, γ = 31.53°
Sites, in units of the cell vectors:
Nd1 0.0000 0.0000 0.0000
Dy1 0.1340 0.1340 0.1340
Dy2 0.8660 0.8660 0.8660
Tl1 0.2678 0.2678 0.2678
Tl2 0.7322 0.7322 0.7322
Cd1 0.4316 0.4316 0.4316
Cd2 0.5684 0.5684 0.5684

---

# 3
## Sr4NF6 (PBE)

Data for a geometry-optimized Sr4NF6 structure.

Calculated values
Size of the total moment (Bohr magnetons per cell): 2.00
ρ (g/cm3): 3.88
VASP energy (eV per formula unit): -61.287
Symmetry: P4_2/nmc (137)

a = 8.3072 Å, b = 8.3072 Å, c = 5.9298 Å
α = 90.00°, β = 90.00°, γ = 90.00°
Sites, in units of the cell vectors:
Sr1 0.0081 0.2500 0.0354
Sr2 0.2500 0.0081 0.5354
Sr3 0.2500 0.4919 0.5354
Sr4 0.4919 0.2500 0.0354
Sr5 0.5081 0.7500 0.9646
Sr6 0.7500 0.5081 0.4646
Sr7 0.7500 0.9919 0.4646
Sr8 0.9919 0.7500 0.9646
N1 0.2500 0.7500 0.7500
N2 0.7500 0.2500 0.2500
F1 0.0285 0.5285 0.2500
F2 0.0285 0.9715 0.2500
F3 0.2500 0.2500 0.2823
F4 0.2500 0.2500 0.7823
F5 0.4715 0.5285 0.2500
F6 0.4715 0.9715 0.2500
F7 0.5285 0.0285 0.7500
F8 0.5285 0.4715 0.7500
F9 0.7500 0.7500 0.2177
F10 0.7500 0.7500 0.7177
F11 0.9715 0.0285 0.7500
F12 0.9715 0.4715 0.7500

---

# 4
## RbGaSn2F8 (PBE)

Data for a geometry-optimized RbGaSn2F8 structure.

Calculated values
Size of the total moment (Bohr magnetons per cell): 0.00
ρ (g/cm3): 4.07
VASP energy (eV per formula unit): -56.880
Symmetry: P-1 (2)

a = 5.2616 Å, b = 5.5704 Å, c = 7.6425 Å
α = 95.97°, β = 90.45°, γ = 94.38°
Sites, in units of the cell vectors:
Rb1 0.0000 0.0000 0.0000
Ga1 0.0000 0.0000 0.5000
Sn1 0.4927 0.5304 0.2700
Sn2 0.5073 0.4696 0.7300
F1 0.1512 0.2095 0.3429
F2 0.2214 0.7507 0.4153
F3 0.2486 0.1205 0.6887
F4 0.3119 0.6390 0.0495
F5 0.6881 0.3610 0.9505
F6 0.7514 0.8795 0.3113
F7 0.7786 0.2493 0.5847
F8 0.8488 0.7905 0.6571

---

# 5
## KCoNiPb2 (PBE)

Data for a geometry-optimized KCoNiPb2 structure.

Calculated values
Size of the total moment (Bohr magnetons per cell): 0.37
ρ (g/cm3): 6.45
VASP energy (eV per formula unit): -11.682
Symmetry: P4/mmm (123)

a = 5.8268 Å, b = 5.8268 Å, c = 4.3285 Å
α = 90.00°, β = 90.00°, γ = 90.00°
Sites, in units of the cell vectors:
K1 0.0000 0.0000 0.0000
Co1 0.0000 0.0000 0.5000
Ni1 0.5000 0.5000 0.5000
Pb1 0.0000 0.5000 0.0000
Pb2 0.5000 0.0000 0.0000

---

# 6
## EuPuCuSn (PBE)

Data for a geometry-optimized EuPuCuSn structure.

Calculated values
Size of the total moment (Bohr magnetons per cell): 1.47
ρ (g/cm3): 9.12
VASP energy (eV per formula unit): -33.376
Symmetry: F-43m (216)

a = 5.3005 Å, b = 5.3005 Å, c = 5.3005 Å
α = 60.00°, β = 60.00°, γ = 60.00°
Sites, in units of the cell vectors:
Eu1 0.0000 0.0000 0.0000
Pu1 0.5000 0.5000 0.5000
Cu1 0.2500 0.2500 0.2500
Sn1 0.7500 0.7500 0.7500

---

# 7
## BaYZn2 (PBE)

Data for a geometry-optimized BaYZn2 structure.

Calculated values
Size of the total moment (Bohr magnetons per cell): 0.00
ρ (g/cm3): 5.68
VASP energy (eV per formula unit): -10.060
Symmetry: F-43m (216)

a = 5.2857 Å, b = 5.2857 Å, c = 5.2857 Å
α = 60.00°, β = 60.00°, γ = 60.00°
Sites, in units of the cell vectors:
Ba1 0.0000 0.0000 0.0000
Y1 0.7500 0.7500 0.7500
Zn1 0.2500 0.2500 0.2500
Zn2 0.5000 0.5000 0.5000

---

# 8
## LiTl2W (PBE)

Data for a geometry-optimized LiTl2W structure.

Calculated values
Size of the total moment (Bohr magnetons per cell): 0.00
ρ (g/cm3): 12.57
VASP energy (eV per formula unit): -17.035
Symmetry: Imm2 (44)

a = 5.9908 Å, b = 5.9908 Å, c = 5.9908 Å
α = 149.96°, β = 132.19°, γ = 57.50°
Sites, in units of the cell vectors:
Li1 0.0000 0.0000 0.0000
Tl1 0.2515 0.7515 0.5000
Tl2 0.5185 0.5185 0.0000
W1 0.7695 0.2695 0.5000

---

Among the records above, which one has the lowest ρ? Sr4NF6